Entry 1:
Below is a relaxed HfScOsAu crystal, with properties calculated at the GGA-PBE level.

a = 4.6900 Å, b = 4.6900 Å, c = 4.6900 Å
α = 60.00°, β = 60.00°, γ = 60.00°
Sites, in units of the cell vectors:
Os (0.5000, 0.5000, 0.5000)
Hf (0.7500, 0.7500, 0.7500)
Au (0.0000, 0.0000, 0.0000)
Sc (0.2500, 0.2500, 0.2500)

## Properties
space group	F-43m (216)
energy of formation from the pure elements	-0.5440	eV/atom



Entry 2:
Below is a relaxed KAlHg2Au crystal, with properties calculated at the GGA-PBE level.

a = 5.3629 Å, b = 5.3629 Å, c = 5.0861 Å
α = 90.00°, β = 90.00°, γ = 90.00°
Sites, in units of the cell vectors:
Hg (0.0000, 0.5000, 0.0000)
Hg (0.5000, 0.0000, 0.0000)
K (0.5000, 0.5000, 0.5000)
Al (0.0000, 0.0000, 0.0000)
Au (0.0000, 0.0000, 0.5000)

## Properties
space group	P4/mmm (123)
energy of formation from the pure elements	-0.1596	eV/atom



Q: Number 2 is which compound?
A: KAlHg2Au